[1]
This record from OQMD describes a geometry-optimized TbTlFeTe3 structure. The functional is PBE.

Structure (POSCAR):
```
TbTlFeTe3
1.0
9.0131 0.0000 0.0000
0.0000 4.2370 0.0000
-3.9118 0.0000 10.5189
Te Tl Tb Fe
6 2 2 2
direct
0.9347 0.7500 0.1434
0.2609 0.2500 0.4437
0.0653 0.2500 0.8566
0.7391 0.7500 0.5563
0.5554 0.2500 0.8142
0.4446 0.7500 0.1858
0.7658 0.2500 0.3001
0.2342 0.7500 0.6999
0.8153 0.7500 0.8532
0.1847 0.2500 0.1468
0.5628 0.2500 0.5792
0.4372 0.7500 0.4208
```

Values from the calculation:
**SG**: P2_1/m, No. 11
**Polymorph energy (0 for the lowest one)**: 3 meV/atom

=====

[2]
This record from OQMD describes a geometry-optimized PmZnIr structure. The functional is PBE.

Structure (POSCAR):
```
PmZnIr
1.0
0.0000 3.3263 3.3263
3.3263 0.0000 3.3263
3.3263 3.3263 0.0000
Zn Ir Pm
1 1 1
direct
0.7500 0.7500 0.7500
0.2500 0.2500 0.2500
0.0000 0.0000 0.0000
```

Values from the calculation:
**SG**: F-43m, No. 216
**Formation energy from the elements**: 204 meV per atom
**Polymorph energy (0 for the lowest one)**: 595 meV/atom

=====

[3]
This record from OQMD describes a geometry-optimized Dy2ErTm5 structure. The functional is PBE.

Structure (POSCAR):
```
Dy2ErTm5
1.0
-1.2933 -5.0624 -1.8564
-5.1842 -0.4611 4.8690
-6.5754 2.2561 -1.5714
Er Tm Dy
1 5 2
direct
0.0000 0.8338 0.8338
0.5000 0.6675 0.1663
0.5000 0.1662 0.1662
0.0000 0.8337 0.3325
0.5000 0.1663 0.6675
0.0000 0.3325 0.8337
0.0000 0.3334 0.3334
0.5000 0.6667 0.6667
```

Values from the calculation:
**SG**: Amm2, No. 38
**Formation energy from the elements**: 1 meV per atom

=====

[4]
This record from OQMD describes a geometry-optimized TmBiPbSe3 structure. The functional is PBE.

Structure (POSCAR):
```
TmBiPbSe3
1.0
6.2359 4.1357 2.2898
-7.7102 -0.6034 -1.1928
-1.3743 -3.9537 10.8838
Se Pb Tm Bi
6 2 2 2
direct
0.9852 0.0148 0.7500
0.6313 0.3687 0.9972
0.3687 0.6313 0.4972
0.3687 0.6313 0.0028
0.0148 0.9852 0.2500
0.6313 0.3687 0.5028
0.3310 0.6690 0.7500
0.6690 0.3310 0.2500
0.0000 0.0000 0.5000
0.0000 0.0000 0.0000
0.3549 0.6451 0.2500
0.6451 0.3549 0.7500
```

Values from the calculation:
**Uncorrected energy**: -4.64 eV/atom
**SG**: Cmcm, No. 63

=====

[5]
This record from OQMD describes a geometry-optimized LuFeBiPt structure. The functional is PBE.

Structure (POSCAR):
```
LuFeBiPt
1.0
0.0000 3.4182 3.4182
3.4182 0.0000 3.4182
3.4182 3.4182 0.0000
Pt Bi Fe Lu
1 1 1 1
direct
0.5000 0.5000 0.5000
0.0000 0.0000 0.0000
0.7500 0.7500 0.7500
0.2500 0.2500 0.2500
```

Values from the calculation:
**SG**: F-43m, No. 216
**Polymorph energy (0 for the lowest one)**: 66 meV/atom

=====

[6]
This record from OQMD describes a geometry-optimized RbIr structure. The functional is PBE.

Structure (POSCAR):
```
RbIr
1.0
-3.0665 -3.1871 2.3504
-2.9157 1.6240 3.7345
-4.9531 0.3447 -0.6584
Ir Rb
1 1
direct
0.0000 0.0000 0.0000
0.5000 0.5000 0.5000
```

Values from the calculation:
**SG**: Fm-3m, No. 225
**Polymorph energy (0 for the lowest one)**: 987 meV/atom